Record 1
VASP calculation (PBE) on a relaxed structure of LaAl2CuPt.

Cell and atoms, written as CIF:
```
data_LaAl2CuPt
_chemical_formula_sum 'La2 Al4 Cu2 Pt2'
_symmetry_space_group_name_H-M 'P 4/n m m'
_symmetry_Int_Tables_number 129
_cell_length_a 4.369
_cell_length_b 4.369
_cell_length_c 10.107
_cell_angle_alpha 90.00
_cell_angle_beta 90.00
_cell_angle_gamma 90.00
loop_
_symmetry_equiv_pos_as_xyz
'x,y,z'
'-x,-y,-z'
'-y+1/2,x,z'
'y+1/2,-x,-z'
'-x+1/2,-y+1/2,z'
'x+1/2,y+1/2,-z'
'y,-x+1/2,z'
'-y,x+1/2,-z'
'x+1/2,-y,-z'
'-x+1/2,y,z'
'-y,-x,-z'
'y,x,z'
'-x,y+1/2,-z'
'x,-y+1/2,z'
'y+1/2,x+1/2,-z'
'-y+1/2,-x+1/2,z'
loop_
_atom_site_label
_atom_site_fract_x
_atom_site_fract_y
_atom_site_fract_z
La1 0.250 0.250 0.245
Al1 0.250 0.250 0.881
Al2 0.250 0.750 0.500
Cu1 0.250 0.750 0.000
Pt1 0.250 0.250 0.632
```

***

Record 2
VASP calculation (PBE) on a relaxed structure of LaSm2Al7Cu2.

Cell and atoms, written as CIF:
```
data_LaSm2Al7Cu2
_chemical_formula_sum 'La3 Sm6 Al21 Cu6'
_symmetry_space_group_name_H-M 'R -3 m'
_symmetry_Int_Tables_number 166
_symmetry_space_group_name_Hall '-R 3 2"'
_cell_length_a 5.5718
_cell_length_b 5.5718
_cell_length_c 25.8325
_cell_angle_alpha 90.00
_cell_angle_beta 90.00
_cell_angle_gamma 120.00
loop_
_atom_site_label
_atom_site_fract_x
_atom_site_fract_y
_atom_site_fract_z
La1 0.0000 0.0000 0.0000
Sm1 0.0000 0.0000 0.1417
Al1 0.0000 0.0000 0.5000
Al2 0.0064 0.5032 0.9214
Cu1 0.0000 0.0000 0.3355
```

***

Record 3
VASP calculation (PBE) on a relaxed structure of La2SmAl7Cu2.

Cell and atoms, written as CIF:
```
data_La2SmAl7Cu2
_chemical_formula_sum 'La6 Sm3 Al21 Cu6'
_symmetry_space_group_name_H-M 'R -3 m'
_symmetry_Int_Tables_number 166
_symmetry_space_group_name_Hall '-R 3 2"'
_cell_length_a 5.6024
_cell_length_b 5.6024
_cell_length_c 26.0394
_cell_angle_alpha 90.00
_cell_angle_beta 90.00
_cell_angle_gamma 120.00
loop_
_atom_site_label
_atom_site_fract_x
_atom_site_fract_y
_atom_site_fract_z
La1 0.0000 0.0000 0.1423
Sm1 0.0000 0.0000 0.0000
Al1 0.0000 0.0000 0.5000
Al2 0.0053 0.5027 0.9239
Cu1 0.0000 0.0000 0.3355
```

***

Record 4
VASP calculation (PBE) on a relaxed structure of LaAlCu2Sn.

Cell and atoms, written as CIF:
```
data_LaAlCu2Sn
_chemical_formula_sum 'La2 Al2 Cu4 Sn2'
_symmetry_space_group_name_H-M 'P 4/n m m'
_symmetry_Int_Tables_number 129
_cell_length_a 4.387
_cell_length_b 4.387
_cell_length_c 10.456
_cell_angle_alpha 90.00
_cell_angle_beta 90.00
_cell_angle_gamma 90.00
loop_
_symmetry_equiv_pos_as_xyz
'x,y,z'
'-x,-y,-z'
'-y+1/2,x,z'
'y+1/2,-x,-z'
'-x+1/2,-y+1/2,z'
'x+1/2,y+1/2,-z'
'y,-x+1/2,z'
'-y,x+1/2,-z'
'x+1/2,-y,-z'
'-x+1/2,y,z'
'-y,-x,-z'
'y,x,z'
'-x,y+1/2,-z'
'x,-y+1/2,z'
'y+1/2,x+1/2,-z'
'-y+1/2,-x+1/2,z'
loop_
_atom_site_label
_atom_site_fract_x
_atom_site_fract_y
_atom_site_fract_z
La1 0.250 0.250 0.246
Al1 0.250 0.750 0.000
Cu1 0.250 0.250 0.884
Cu2 0.250 0.750 0.500
Sn1 0.250 0.250 0.638
```

***

Record 5
VASP calculation (PBE) on a relaxed structure of LaTb2Al7Cu2.

Cell and atoms, written as CIF:
```
data_LaTb2Al7Cu2
_chemical_formula_sum 'La3 Tb6 Al21 Cu6'
_symmetry_space_group_name_H-M 'R -3 m'
_symmetry_Int_Tables_number 166
_symmetry_space_group_name_Hall '-R 3 2"'
_cell_length_a 5.5398
_cell_length_b 5.5398
_cell_length_c 25.7369
_cell_angle_alpha 90.00
_cell_angle_beta 90.00
_cell_angle_gamma 120.00
loop_
_atom_site_label
_atom_site_fract_x
_atom_site_fract_y
_atom_site_fract_z
La1 0.0000 0.0000 0.0000
Tb1 0.0000 0.0000 0.1419
Al1 0.0000 0.0000 0.5000
Al2 0.0065 0.5033 0.9204
Cu1 0.0000 0.0000 0.3354
```

***

Record 6
VASP calculation (PBE) on a relaxed structure of LaTm2Al7Cu2.

Cell and atoms, written as CIF:
```
data_LaTm2Al7Cu2
_chemical_formula_sum 'La3 Tm6 Al21 Cu6'
_symmetry_space_group_name_H-M 'R -3 m'
_symmetry_Int_Tables_number 166
_symmetry_space_group_name_Hall '-R 3 2"'
_cell_length_a 5.5027
_cell_length_b 5.5027
_cell_length_c 25.5895
_cell_angle_alpha 90.00
_cell_angle_beta 90.00
_cell_angle_gamma 120.00
loop_
_atom_site_label
_atom_site_fract_x
_atom_site_fract_y
_atom_site_fract_z
La1 0.0000 0.0000 0.0000
Tm1 0.0000 0.0000 0.1421
Al1 0.0000 0.0000 0.5000
Al2 0.0064 0.5032 0.9196
Cu1 0.0000 0.0000 0.3353
```

***

Record 7
VASP calculation (PBE) on a relaxed structure of La2TmAl7Cu2.

Cell and atoms, written as CIF:
```
data_La2TmAl7Cu2
_chemical_formula_sum 'La6 Tm3 Al21 Cu6'
_symmetry_space_group_name_H-M 'R -3 m'
_symmetry_Int_Tables_number 166
_symmetry_space_group_name_Hall '-R 3 2"'
_cell_length_a 5.5778
_cell_length_b 5.5778
_cell_length_c 25.9418
_cell_angle_alpha 90.00
_cell_angle_beta 90.00
_cell_angle_gamma 120.00
loop_
_atom_site_label
_atom_site_fract_x
_atom_site_fract_y
_atom_site_fract_z
La1 0.0000 0.0000 0.1422
Tm1 0.0000 0.0000 0.0000
Al1 0.0000 0.0000 0.5000
Al2 0.0051 0.5026 0.9244
Cu1 0.0000 0.0000 0.3353
```

***

Record 8
VASP calculation (PBE) on a relaxed structure of LaY2Al7Cu2.

Cell and atoms, written as CIF:
```
data_LaY2Al7Cu2
_chemical_formula_sum 'La3 Y6 Al21 Cu6'
_symmetry_space_group_name_H-M 'R -3 m'
_symmetry_Int_Tables_number 166
_symmetry_space_group_name_Hall '-R 3 2"'
_cell_length_a 5.5376
_cell_length_b 5.5376
_cell_length_c 25.7125
_cell_angle_alpha 90.00
_cell_angle_beta 90.00
_cell_angle_gamma 120.00
loop_
_atom_site_label
_atom_site_fract_x
_atom_site_fract_y
_atom_site_fract_z
La1 0.0000 0.0000 0.0000
Y1 0.0000 0.0000 0.1418
Al1 0.0000 0.0000 0.5000
Al2 0.0062 0.5031 0.9203
Cu1 0.0000 0.0000 0.3353
```

***

no.,total DFT energy (no corrections) (eV per atom),calculated volume (Å³ per cell)
1,-5.22,192.9
2,-4.50,694.5
3,-4.49,707.8
4,-4.48,201.2
5,-4.49,684.0
6,-4.45,671.0
7,-4.44,699.0
8,-4.80,682.8